Entry from Alexandria: a crystal of AgHg2BrO relaxed with PBEsol (meta-GGA SCAN).

Cell: 4.346 4.346 6.348 Å, 90.00 90.00 90.00°
Fractional positions:
O 0.000 0.000 0.000
Br 0.000 0.000 0.500
Hg 0.000 0.500 0.000
Hg 0.500 0.000 0.000
Ag 0.500 0.500 0.500

***

Entry from Alexandria: a crystal of AgHgSBr relaxed with PBEsol (meta-GGA SCAN).

Cell: 4.534 9.642 9.457 Å, 90.00 90.00 90.00°
Fractional positions:
Ag 0.000 0.211 0.407
Ag 0.000 0.789 0.593
Ag 0.000 0.211 0.093
Ag 0.000 0.789 0.907
Hg 0.500 0.226 0.750
Hg 0.500 0.774 0.250
Hg 0.500 0.500 0.000
Hg 0.500 0.500 0.500
S 0.500 0.253 0.001
S 0.500 0.747 0.999
S 0.500 0.747 0.501
S 0.500 0.253 0.499
Br 0.000 0.019 0.750
Br 0.000 0.525 0.750
Br 0.000 0.475 0.250
Br 0.000 0.981 0.250

***

Entry from Alexandria: a crystal of AgIBr2 relaxed with PBEsol (meta-GGA SCAN).

Results
- Energy relative to the lowest polymorph listed for this composition: 29.6 kJ/mol of atoms

Cell: 6.615 6.615 6.615 Å, 104.16 104.16 120.71°
Fractional positions:
I 0.250 0.750 0.500
I 0.000 0.000 0.000
Br 0.804 0.875 0.429
Br 0.446 0.375 0.571
Br 0.625 0.196 0.071
Br 0.125 0.554 0.929
Ag 0.750 0.250 0.500
Ag 0.500 0.500 0.000

***

Entry from Alexandria: a crystal of AgIBr relaxed with PBEsol (meta-GGA SCAN).

Cell: 4.140 6.304 8.494 Å, 105.01 101.15 119.26°
Fractional positions:
I 0.909 0.604 0.884
I 0.091 0.396 0.116
Ag 0.963 0.652 0.401
Ag 0.037 0.348 0.599
Br 0.730 0.860 0.639
Br 0.270 0.140 0.361

***

Entry from Alexandria: a crystal of AgIBr2 relaxed with PBEsol (meta-GGA SCAN).

Results
- Energy relative to the lowest polymorph listed for this composition: 0.0 kJ/mol of atoms

Cell: 4.214 4.214 8.623 Å, 75.86 75.86 60.00°
Fractional positions:
I 0.000 0.000 0.000
Ag 0.500 0.500 0.500
Br 0.890 0.890 0.329
Br 0.110 0.110 0.671

***

Entry from Alexandria: a crystal of AgI2BrN relaxed with PBEsol (meta-GGA SCAN).

Cell: 3.721 6.004 6.004 Å, 90.00 90.00 90.00°
Fractional positions:
I 0.000 0.000 0.500
I 0.000 0.500 0.000
Br 0.000 0.000 0.000
Ag 0.500 0.500 0.500
N 0.500 0.000 0.000

***

no.,electronic total energy (eV/atom),E_form (uncorrected) (kJ/mol of atoms),total magnetization (Bohr magnetons per cell)
1,-38.516,16,0.0
2,-32.472,-31,0.0
3,-26.652,10,0.0
4,-29.420,-22,0.0
5,-26.959,-19,0.0
6,-25.479,120,0.0